a.
VASP calculation (SCAN) on a PBEsol-optimized structure of BOsBr2.

Geometry as CIF:
```
data_BOsBr2
_symmetry_space_group_name_H-M 'I -4 2 d'
_symmetry_Int_Tables_number 122
_symmetry_space_group_name_Hall 'I -4 2bw'
_cell_length_a 9.1135
_cell_length_b 9.1135
_cell_length_c 4.0311
_cell_angle_alpha 90.00
_cell_angle_beta 90.00
_cell_angle_gamma 90.00
loop_
_atom_site_label
_atom_site_type_symbol
_atom_site_fract_x
_atom_site_fract_y
_atom_site_fract_z
_atom_site_occupancy
B1 B 0.0000 0.0000 0.0000 1
Os1 Os 0.0000 0.0000 0.5000 1
Br1 Br 0.1050 0.7500 0.6250 1
```

Results
D(E_F) (states/eV/cell): 12.9
Theoretical density (g/cm³): 7.16

b.
VASP calculation (SCAN) on a PBEsol-optimized structure of BOsBr2.

Geometry as CIF:
```
data_BOsBr2
_symmetry_space_group_name_H-M 'F m -3 m'
_symmetry_Int_Tables_number 225
_symmetry_space_group_name_Hall '-F 4 2 3'
_cell_length_a 6.3040
_cell_length_b 6.3040
_cell_length_c 6.3040
_cell_angle_alpha 90.00
_cell_angle_beta 90.00
_cell_angle_gamma 90.00
loop_
_atom_site_label
_atom_site_type_symbol
_atom_site_fract_x
_atom_site_fract_y
_atom_site_fract_z
_atom_site_occupancy
B1 B 0.0000 0.0000 0.0000 1
Os1 Os 0.0000 0.0000 0.5000 1
Br1 Br 0.2500 0.2500 0.2500 1
```

Results
D(E_F) (states/eV/cell): 9.2
Theoretical density (g/cm³): 9.57

Verdict on stability: a comes out on top.

a.
VASP calculation (SCAN) on a PBEsol-optimized structure of ZrBC3.

Geometry as CIF:
```
data_ZrBC3
_symmetry_space_group_name_H-M 'P m -3 m'
_symmetry_Int_Tables_number 221
_symmetry_space_group_name_Hall '-P 4 2 3'
_cell_length_a 4.2784
_cell_length_b 4.2784
_cell_length_c 4.2784
_cell_angle_alpha 90.00
_cell_angle_beta 90.00
_cell_angle_gamma 90.00
loop_
_atom_site_label
_atom_site_type_symbol
_atom_site_fract_x
_atom_site_fract_y
_atom_site_fract_z
_atom_site_occupancy
Zr1 Zr 0.0000 0.0000 0.0000 1
B1 B 0.5000 0.5000 0.5000 1
C1 C 0.0000 0.0000 0.5000 1
```

Results
D(E_F) (states/eV/cell): 2.6
Theoretical density (g/cm³): 2.93

b.
VASP calculation (SCAN) on a PBEsol-optimized structure of ZrBC3.

Geometry as CIF:
```
data_ZrBC3
_symmetry_space_group_name_H-M 'P m -3 m'
_symmetry_Int_Tables_number 221
_symmetry_space_group_name_Hall '-P 4 2 3'
_cell_length_a 3.4940
_cell_length_b 3.4940
_cell_length_c 3.4940
_cell_angle_alpha 90.00
_cell_angle_beta 90.00
_cell_angle_gamma 90.00
loop_
_atom_site_label
_atom_site_type_symbol
_atom_site_fract_x
_atom_site_fract_y
_atom_site_fract_z
_atom_site_occupancy
Zr1 Zr 0.0000 0.0000 0.0000 1
B1 B 0.5000 0.5000 0.5000 1
C1 C 0.0000 0.5000 0.5000 1
```

Results
D(E_F) (states/eV/cell): 1.9
Theoretical density (g/cm³): 5.37

Verdict on stability: b comes out on top.

a.
VASP calculation (SCAN) on a PBEsol-optimized structure of CaFe3B.

Geometry as CIF:
```
data_CaFe3B
_symmetry_space_group_name_H-M 'P m -3 m'
_symmetry_Int_Tables_number 221
_symmetry_space_group_name_Hall '-P 4 2 3'
_cell_length_a 3.9686
_cell_length_b 3.9686
_cell_length_c 3.9686
_cell_angle_alpha 90.00
_cell_angle_beta 90.00
_cell_angle_gamma 90.00
loop_
_atom_site_label
_atom_site_type_symbol
_atom_site_fract_x
_atom_site_fract_y
_atom_site_fract_z
_atom_site_occupancy
Ca1 Ca 0.0000 0.0000 0.0000 1
Fe1 Fe 0.0000 0.5000 0.5000 1
B1 B 0.5000 0.5000 0.5000 1
```

Results
D(E_F) (states/eV/cell): 5.7
Theoretical density (g/cm³): 5.80

b.
VASP calculation (SCAN) on a PBEsol-optimized structure of CaFe3B.

Geometry as CIF:
```
data_CaFe3B
_symmetry_space_group_name_H-M 'P m -3 m'
_symmetry_Int_Tables_number 221
_symmetry_space_group_name_Hall '-P 4 2 3'
_cell_length_a 4.3048
_cell_length_b 4.3048
_cell_length_c 4.3048
_cell_angle_alpha 90.00
_cell_angle_beta 90.00
_cell_angle_gamma 90.00
loop_
_atom_site_label
_atom_site_type_symbol
_atom_site_fract_x
_atom_site_fract_y
_atom_site_fract_z
_atom_site_occupancy
Ca1 Ca 0.0000 0.0000 0.0000 1
Fe1 Fe 0.0000 0.0000 0.5000 1
B1 B 0.5000 0.5000 0.5000 1
```

Results
D(E_F) (states/eV/cell): 4.0
Theoretical density (g/cm³): 4.55

Verdict on stability: a comes out on top.

a.
VASP calculation (SCAN) on a PBEsol-optimized structure of ScCdHg2B.

Geometry as CIF:
```
data_ScCdHg2B
_symmetry_space_group_name_H-M 'P 4/m m m'
_symmetry_Int_Tables_number 123
_symmetry_space_group_name_Hall '-P 4 2'
_cell_length_a 4.6320
_cell_length_b 4.6320
_cell_length_c 4.4450
_cell_angle_alpha 90.00
_cell_angle_beta 90.00
_cell_angle_gamma 90.00
loop_
_atom_site_label
_atom_site_type_symbol
_atom_site_fract_x
_atom_site_fract_y
_atom_site_fract_z
_atom_site_occupancy
Sc1 Sc 0.0000 0.0000 0.0000 1
Cd1 Cd 0.5000 0.5000 0.0000 1
Hg1 Hg 0.0000 0.5000 0.5000 1
B1 B 0.5000 0.5000 0.5000 1
```

Results
D(E_F) (states/eV/cell): 2.5
Theoretical density (g/cm³): 9.91

b.
VASP calculation (SCAN) on a PBEsol-optimized structure of ScCdHg2B.

Geometry as CIF:
```
data_ScCdHg2B
_symmetry_space_group_name_H-M 'P 4/m m m'
_symmetry_Int_Tables_number 123
_symmetry_space_group_name_Hall '-P 4 2'
_cell_length_a 5.1081
_cell_length_b 5.1081
_cell_length_c 5.3759
_cell_angle_alpha 90.00
_cell_angle_beta 90.00
_cell_angle_gamma 90.00
loop_
_atom_site_label
_atom_site_type_symbol
_atom_site_fract_x
_atom_site_fract_y
_atom_site_fract_z
_atom_site_occupancy
Sc1 Sc 0.0000 0.0000 0.0000 1
Cd1 Cd 0.0000 0.0000 0.5000 1
Hg1 Hg 0.0000 0.5000 0.5000 1
B1 B 0.5000 0.5000 0.0000 1
```

Results
D(E_F) (states/eV/cell): 3.2
Theoretical density (g/cm³): 6.74

Verdict on stability: a comes out on top.

a.
VASP calculation (SCAN) on a PBEsol-optimized structure of CdBMo3.

Geometry as CIF:
```
data_CdBMo3
_symmetry_space_group_name_H-M 'P m -3 m'
_symmetry_Int_Tables_number 221
_symmetry_space_group_name_Hall '-P 4 2 3'
_cell_length_a 4.2015
_cell_length_b 4.2015
_cell_length_c 4.2015
_cell_angle_alpha 90.00
_cell_angle_beta 90.00
_cell_angle_gamma 90.00
loop_
_atom_site_label
_atom_site_type_symbol
_atom_site_fract_x
_atom_site_fract_y
_atom_site_fract_z
_atom_site_occupancy
Cd1 Cd 0.0000 0.0000 0.0000 1
B1 B 0.5000 0.5000 0.5000 1
Mo1 Mo 0.0000 0.5000 0.5000 1
```

Results
D(E_F) (states/eV/cell): 4.5
Theoretical density (g/cm³): 9.20

b.
VASP calculation (SCAN) on a PBEsol-optimized structure of CdBMo3.

Geometry as CIF:
```
data_CdBMo3
_symmetry_space_group_name_H-M 'P m -3 m'
_symmetry_Int_Tables_number 221
_symmetry_space_group_name_Hall '-P 4 2 3'
_cell_length_a 4.7544
_cell_length_b 4.7544
_cell_length_c 4.7544
_cell_angle_alpha 90.00
_cell_angle_beta 90.00
_cell_angle_gamma 90.00
loop_
_atom_site_label
_atom_site_type_symbol
_atom_site_fract_x
_atom_site_fract_y
_atom_site_fract_z
_atom_site_occupancy
Cd1 Cd 0.0000 0.0000 0.0000 1
B1 B 0.5000 0.5000 0.5000 1
Mo1 Mo 0.0000 0.0000 0.5000 1
```

Results
D(E_F) (states/eV/cell): 8.1
Theoretical density (g/cm³): 6.35

Verdict on stability: a comes out on top.